1.
A geometry-optimized LiScAl2Cu4 structure. Source: the Open Quantum Materials Database, functional PBE.

```
LiScAl2Cu4
1.0
-2.987 2.987 6.187
2.987 -2.987 6.187
2.987 2.987 -6.187
Li Sc Al Cu
2 2 4 8
direct
0.375 0.625 0.750
0.625 0.375 0.250
0.125 0.875 0.250
0.875 0.125 0.750
0.119 0.369 0.750
0.369 0.119 0.250
0.631 0.881 0.750
0.881 0.631 0.250
0.000 0.270 0.270
0.000 0.730 0.730
0.270 0.000 0.770
0.270 0.500 0.270
0.500 0.270 0.770
0.500 0.730 0.230
0.730 0.000 0.230
0.730 0.500 0.730
```

Calculated values
* ΔE to the lowest computed polymorph: 12 meV/atom


2.
A geometry-optimized LuAlZnCu structure. Source: the Open Quantum Materials Database, functional PBE.

```
LuAlZnCu
1.0
0.000 3.240 3.240
3.240 0.000 3.240
3.240 3.240 0.000
Lu Al Zn Cu
1 1 1 1
direct
0.000 0.000 0.000
0.250 0.250 0.250
0.750 0.750 0.750
0.500 0.500 0.500
```

Calculated values
* ΔE to the lowest computed polymorph: 174 meV/atom


3.
A geometry-optimized W2N structure. Source: the Open Quantum Materials Database, functional PBE.

```
W2N
1.0
5.177 0.000 0.000
-2.588 4.483 0.000
0.000 0.000 4.830
W N
6 3
direct
0.000 0.324 0.250
0.000 0.676 0.750
0.324 0.000 0.250
0.324 0.324 0.750
0.676 0.000 0.750
0.676 0.676 0.250
0.000 0.000 0.000
0.333 0.667 0.500
0.667 0.333 0.500
```

Calculated values
* E: -34.32 eV per formula unit


4.
A geometry-optimized Cs2HgBiF6 structure. Source: the Open Quantum Materials Database, functional PBE.

```
Cs2HgBiF6
1.0
0.000 4.675 4.675
4.675 0.000 4.675
4.675 4.675 0.000
Cs Hg Bi F
2 1 1 6
direct
0.250 0.250 0.250
0.750 0.750 0.750
0.000 0.000 0.000
0.500 0.500 0.500
0.262 0.262 0.738
0.262 0.738 0.262
0.262 0.738 0.738
0.738 0.262 0.262
0.738 0.262 0.738
0.738 0.738 0.262
```

Calculated values
* E: -39.33 eV per formula unit


5.
A geometry-optimized KTmLu structure. Source: the Open Quantum Materials Database, functional PBE.

```
KTmLu
1.0
0.000 4.105 4.105
4.105 0.000 4.105
4.105 4.105 0.000
K Tm Lu
1 1 1
direct
0.000 0.000 0.000
0.500 0.500 0.500
0.250 0.250 0.250
```

Calculated values
* ΔE to the lowest computed polymorph: 0 meV/atom


6.
A geometry-optimized RbNiAs structure. Source: the Open Quantum Materials Database, functional PBE.

```
RbNiAs
1.0
0.000 3.343 3.343
3.343 0.000 3.343
3.343 3.343 0.000
Rb Ni As
1 1 1
direct
0.000 0.000 0.000
0.750 0.750 0.750
0.500 0.500 0.500
```

Calculated values
* E: -9.42 eV per formula unit


7.
A geometry-optimized LiScTc2 structure. Source: the Open Quantum Materials Database, functional PBE.

```
LiScTc2
1.0
0.000 3.118 3.118
3.118 0.000 3.118
3.118 3.118 0.000
Li Sc Tc
1 1 2
direct
0.000 0.000 0.000
0.250 0.250 0.250
0.500 0.500 0.500
0.750 0.750 0.750
```

Calculated values
* E: -29.12 eV per formula unit


8.
A geometry-optimized Lu2SiTc structure. Source: the Open Quantum Materials Database, functional PBE.

```
Lu2SiTc
1.0
0.000 3.322 3.322
3.322 0.000 3.322
3.322 3.322 0.000
Lu Si Tc
2 1 1
direct
0.000 0.000 0.000
0.250 0.250 0.250
0.500 0.500 0.500
0.750 0.750 0.750
```

Calculated values
* E: -25.36 eV per formula unit


9.
A geometry-optimized Tm2Al4CuIr structure. Source: the Open Quantum Materials Database, functional PBE.

```
Tm2Al4CuIr
1.0
6.925 0.000 0.000
0.000 2.075 5.037
0.000 -2.075 5.037
Tm Al Cu Ir
2 4 1 1
direct
0.000 0.000 0.000
0.500 0.139 0.139
0.193 0.713 0.713
0.302 0.423 0.423
0.698 0.423 0.423
0.807 0.713 0.713
0.000 0.282 0.282
0.500 0.856 0.856
```

Calculated values
* E: -41.92 eV per formula unit


10.
A geometry-optimized RbLa2Cu3Te4S structure. Source: the Open Quantum Materials Database, functional PBE.

```
RbLa2Cu3Te4S
1.0
2.202 -7.863 0.000
2.202 7.863 0.000
0.000 0.000 18.331
Rb La Cu Te S
2 4 6 8 2
direct
0.069 0.931 0.750
0.931 0.069 0.250
0.196 0.804 0.100
0.196 0.804 0.400
0.804 0.196 0.600
0.804 0.196 0.900
0.333 0.667 0.750
0.417 0.583 0.020
0.417 0.583 0.480
0.583 0.417 0.520
0.583 0.417 0.980
0.667 0.333 0.250
0.155 0.845 0.571
0.155 0.845 0.929
0.447 0.553 0.622
0.447 0.553 0.878
0.553 0.447 0.122
0.553 0.447 0.378
0.845 0.155 0.071
0.845 0.155 0.429
0.228 0.772 0.250
0.772 0.228 0.750
```

Calculated values
* E: -49.36 eV per formula unit


11.
A geometry-optimized NdAs structure. Source: the Open Quantum Materials Database, functional PBE.

```
NdAs
1.0
3.872 0.000 0.000
0.000 3.872 0.000
0.000 0.000 3.277
Nd As
1 1
direct
0.000 0.000 0.000
0.500 0.500 0.500
```

Calculated values
* E: -11.59 eV per formula unit


12.
A geometry-optimized Ba2AgAsS6 structure. Source: the Open Quantum Materials Database, functional PBE.

```
Ba2AgAsS6
1.0
0.000 4.930 4.930
4.930 0.000 4.930
4.930 4.930 0.000
Ba Ag As S
2 1 1 6
direct
0.250 0.250 0.250
0.750 0.750 0.750
0.000 0.000 0.000
0.500 0.500 0.500
0.256 0.256 0.744
0.256 0.744 0.256
0.256 0.744 0.744
0.744 0.256 0.256
0.744 0.256 0.744
0.744 0.744 0.256
```

Calculated values
* E: -42.71 eV per formula unit